Record 1
Material: Sc2ZnPt6
Method: DFT, PBE
State: optimized geometry

Output
Formation enthalpy at 0 K (eV/f.u.): -6.098
DOS at the Fermi energy (states/eV/f.u.): 3.9
Space group: C2/m, No. 12

a = 7.2433 Å, b = 7.2433 Å, c = 3.8110 Å
α = 105.17°, β = 105.17°, γ = 62.65°
Closest atoms and distances in Å follow each position.
Fractional coordinates of all 9 atoms:
1 Sc 0.1551 0.1551 0.1561  8 Pt 2.72-2.76
2 Sc 0.8449 0.8449 0.8439  8 Pt 2.72-2.76
3 Zn 0.5000 0.5000 0.5000  8 Pt 2.59-2.64
4 Pt 0.0983 0.5701 0.3336  1 Zn 2.64, 4 Pt 2.72-2.76, 3 Sc 2.76
5 Pt 0.2675 0.7325 0.0000  2 Zn 2.59, 2 Sc 2.72, 4 Pt 2.72-2.73
6 Pt 0.4299 0.9017 0.6664  1 Zn 2.64, 4 Pt 2.72-2.76, 3 Sc 2.76
7 Pt 0.5701 0.0983 0.3336  1 Zn 2.64, 4 Pt 2.72-2.76, 3 Sc 2.76
8 Pt 0.7325 0.2675 0.0000  2 Zn 2.59, 2 Sc 2.72, 4 Pt 2.72-2.73
9 Pt 0.9017 0.4299 0.6664  1 Zn 2.64, 4 Pt 2.72-2.76, 3 Sc 2.76

***

Record 2
Material: Ga2HgRh3
Method: DFT, PBE
State: optimized geometry

Output
Formation enthalpy at 0 K (eV/f.u.): -2.792
DOS at the Fermi energy (states/eV/f.u.): 2.3
Space group: P4/mmm, No. 123

a = 3.0348 Å, b = 3.0348 Å, c = 9.8577 Å
α = 90.00°, β = 90.00°, γ = 90.00°
Closest atoms and distances in Å follow each position.
Fractional coordinates of all 6 atoms:
1 Ga 0.0000 0.0000 0.1580  8 Rh 2.56-2.65
2 Ga 0.0000 0.0000 0.8420  8 Rh 2.56-2.65
3 Hg 0.0000 0.0000 0.5000  8 Rh 2.92, 4 Hg 3.03
4 Rh 0.5000 0.5000 0.0000  8 Ga 2.65, 2 Rh 2.95
5 Rh 0.5000 0.5000 0.2993  4 Ga 2.56
6 Rh 0.5000 0.5000 0.7007  4 Ga 2.56

***

Record 3
Material: Pu2USn
Method: DFT, PBE
State: optimized geometry

Output
Formation enthalpy at 0 K (eV/f.u.): 0.063
DOS at the Fermi energy (states/eV/f.u.): 8.3
Space group: P4/mmm, No. 123

a = 3.8638 Å, b = 3.8638 Å, c = 6.4511 Å
α = 90.00°, β = 90.00°, γ = 90.00°
Closest atoms and distances in Å follow each position.
Fractional coordinates of all 4 atoms:
1 Pu 0.0000 0.0000 0.2472  4 U 3.16, 4 Sn 3.18, 2 Pu 3.19-3.26
2 Pu 0.0000 0.0000 0.7528  4 U 3.16, 4 Sn 3.18, 2 Pu 3.19-3.26
3 U 0.5000 0.5000 0.0000  8 Pu 3.16, 2 Sn 3.23
4 Sn 0.5000 0.5000 0.5000  8 Pu 3.18, 2 U 3.23